Entry 1:
## Zr2Cd3Au2 (PBE)

Data for an optimized crystal structure of Zr2Cd3Au2.

- VASP energy (eV per formula unit) = -27.8
- N(E_F) (states/eV/cell) = 4.7
- crystal system = monoclinic

a = 5.450 Å, b = 5.450 Å, c = 6.791 Å
α = 92.30°, β = 92.30°, γ = 47.55°
Fractional coordinates of all 7 atoms:
Zr  0.101  0.101  0.341
Zr  0.899  0.899  0.659
Cd  0.202  0.202  0.861
Cd  0.500  0.500  0.000
Cd  0.798  0.798  0.139
Au  0.383  0.383  0.382
Au  0.617  0.617  0.618

Entry 2:
## Zr2CdAu4 (PBE)

Data for an optimized crystal structure of Zr2CdAu4.

- VASP energy (eV per formula unit) = -33.7
- N(E_F) (states/eV/cell) = 3.4
- crystal system = monoclinic

a = 5.172 Å, b = 5.172 Å, c = 6.735 Å
α = 97.58°, β = 97.58°, γ = 50.17°
Fractional coordinates of all 7 atoms:
Zr  0.211  0.211  0.171
Zr  0.789  0.789  0.829
Cd  0.500  0.500  0.000
Au  0.082  0.082  0.726
Au  0.363  0.363  0.576
Au  0.637  0.637  0.424
Au  0.918  0.918  0.274

What is the N(E_F) in the second record? 3.4 states/eV/cell